Entry from Alexandria: an optimized crystal structure of CeScSb (PBE).

Cell: 4.923 4.923 3.947 Å, 90.00 90.00 120.00°
Fractional positions:
Ce 0.000 0.000 0.000
Sc 0.667 0.333 0.500
Sb 0.333 0.667 0.500

Calculated values
ΔE_f (raw): -515 meV per atom
space-group type: P-6m2, No. 187
energy relative to the lowest polymorph listed for this composition: 0.2336 eV per atom
crystal system: hexagonal
mass density: 6.151 g/cm3
uncorrected energy: -5.977 eV per atom



Entry from Alexandria: an optimized crystal structure of Ce2SmScSb5 (PBE).

Cell: 5.454 5.454 11.193 Å, 90.00 90.00 90.00°
Fractional positions:
Ce 0.000 0.000 0.202
Ce 0.000 0.000 0.798
Sm 0.500 0.500 0.000
Sc 0.500 0.500 0.500
Sb 0.000 0.000 0.500
Sb 0.000 0.500 0.000
Sb 0.500 0.000 0.000
Sb 0.500 0.500 0.261
Sb 0.500 0.500 0.739

Calculated values
ΔE_f (raw): -161 meV per atom
space-group type: P4/mmm, No. 123
crystal system: tetragonal
mass density: 5.407 g/cm3
uncorrected energy: -4.998 eV per atom



no.,Fermi-level density of states (states/eV/cell)
1,7.0
2,19.0